Computed, not measured: a relaxed structure of KMnPCO7 at the PBE+U level of DFT.

```
22
Lattice="5.2126 0.0000 -0.0245 0.0000 6.2123 0.0000 -0.2624 0.0000 10.4813" Properties=species:S:1:pos:R:3 pbc="T T T"
K 1.0315 3.9645 8.2126
K 3.9188 0.8584 2.2442
Mn 3.8999 1.4442 6.6648
Mn 1.0504 4.5503 3.7920
P 3.6092 4.5683 5.8091
P 1.3410 1.4621 4.6476
C 3.4368 1.4839 9.0420
C 1.5134 4.5901 1.4148
O 1.7626 4.6204 0.2094
O 4.6488 1.4811 8.5055
O 2.5169 1.4679 8.0775
O 3.9270 5.7488 6.7727
O 3.9148 3.3696 6.7588
O 0.4894 1.4765 5.9161
O 2.0984 4.5557 5.4444
O 2.8518 1.4496 5.0124
O 4.4608 4.5827 4.5407
O 1.0354 0.2634 3.6980
O 1.0233 2.6427 3.6841
O 2.4334 4.5740 2.3793
O 0.3014 4.5872 1.9513
O 3.1876 1.5142 10.2474
```

Excess energy over the best structure of this formula in the dataset, meV per atom: 6
Crystal system: monoclinic